1.
DFT (PBE-GGA) results for a geometry-optimized MgCd2Pb structure.

The space group is Cmmm (No. 65) and the conventional cell measures 3.718, 5.435 and 10.073 Å, with angles of 90.00, 90.00 and 90.00 degrees. The distinct sites, in fractional coordinates, are Mg at (0.000, 0.000, 0.000), Cd at (0.000, 0.500, 0.229) and Pb at (0.000, 0.000, 0.500).

The energy relative to the lowest polymorph listed for this composition comes out at 57 meV/atom. As for the crystal system: orthorhombic. For the magnetization, the calculation gives 0.000 μB per formula unit. For the formation enthalpy at 0 K, the calculation gives 0.04 eV/atom.



2.
DFT (PBE-GGA) results for a geometry-optimized Mg3Cd3Pb structure.

The space group is R-3 (No. 148, hexagonal axes) and the conventional cell measures 7.5371, 7.5371 and 22.8437 Å, with angles of 90.00, 90.00 and 120.00 degrees. The distinct sites, in fractional coordinates, are Mg at (0.0170, 0.2496, 0.2666), Cd at (0.0462, 0.2677, 0.1314) and Pb at (0.0000, 0.0000, 0.3723).

The energy relative to the lowest polymorph listed for this composition comes out at 0 meV/atom. As for the crystal system: trigonal. For the magnetization, the calculation gives 0.000 μB per formula unit. For the formation enthalpy at 0 K, the calculation gives 0.06 eV/atom.